(1)
Computed, not measured: an optimized crystal structure of Ba2Hg2H at the GGA-PBE level of DFT.

Cell and atoms, written as POSCAR:
```
Ba2Hg2H
1.0
-2.2677 4.0238 -6.4672
-4.2299 -6.2769 -2.4222
-4.4184 1.9189 2.7433
H Hg Ba
2 4 4
Cartesian
0.0000 0.0000 0.0000
-3.2488 -1.1265 -4.4447
-5.1617 -2.4694 -0.9853
-7.3201 -1.9778 -4.8055
-5.7544 2.1353 -5.1608
-3.5960 1.6437 -1.3406
-4.1245 -3.8352 -3.9603
-4.7570 -1.0793 -6.9068
-2.3732 1.5822 -4.9291
-1.7407 -1.1738 -1.9826
```

Values from the calculation:
M_tot   0.00 μB/f.u.

---

(2)
Computed, not measured: an optimized crystal structure of Ba6Hg2H at the GGA-PBE level of DFT.

Cell and atoms, written as POSCAR:
```
Ba6Hg2H
1.0
4.3759 0.0000 0.0000
2.1879 7.7773 0.5495
2.1879 2.2050 12.5309
Ba Hg H
6 2 1
Cartesian
4.3759 2.2704 1.4645
4.3759 7.7119 11.6160
4.3759 7.0073 7.3038
2.1879 6.2561 3.0540
6.5638 3.7261 10.0265
4.3759 2.9750 5.7767
2.1879 1.0001 3.7990
6.5638 8.9821 9.2815
0.0000 0.0000 0.0000
```

Values from the calculation:
M_tot   0.46 μB/f.u.
Energy relative to the lowest polymorph listed for this composition   66 meV per atom

---

(3)
Computed, not measured: an optimized crystal structure of BaHgH6 at the GGA-PBE level of DFT.

Cell and atoms, written as POSCAR:
```
BaHgH6
1.0
4.2661 -0.6774 -0.1017
1.2236 4.1426 -0.1017
-1.4081 -0.8888 5.6996
Ba Hg H
1 1 6
Cartesian
0.0000 0.0000 0.0000
2.0408 1.2882 2.7481
1.9325 2.7865 3.9517
3.3468 0.5459 3.9517
0.7349 2.0305 1.5444
2.1491 -0.2101 1.5444
2.8418 1.7938 0.2670
1.2399 0.7827 5.2291
```

Values from the calculation:
M_tot   0.00 μB/f.u.

---

The evaluated volume for the records listed, in turn: 35.0, 46.8, 13.1 A^3/atom.
The evaluated density for the records listed, in turn: 6.42, 4.83, 5.47 g/cm3.
The evaluated total energy for the records listed, in turn: -1.841, -1.957, -2.759 eV per atom.